Entry 1:
MgVAg | PBE | optimized geometry

Results
Its energy relative to the elements is 212 meV/atom. For the total magnetization, the calculation gives 0.000 μB per atom. The energy is -0.1584 Ha/atom.

Unit cell a=2.910 b=4.284 c=8.532 alpha=95.19 beta=97.34 gamma=91.30
Atoms (fractional coordinates):
Mg 0.000 0.000 0.000
Mg 0.382 0.466 0.802
V 0.504 0.892 0.295
V 0.672 0.519 0.176
Ag 0.178 0.411 0.465
Ag 0.792 0.941 0.645

=====

Entry 2:
CdAsCl4 | PBE | optimized geometry

Results
For the total magnetization, the calculation gives 0.168 μB per atom. The energy is -0.0973 Ha/atom. Its uncorrected formation energy is -0.490 eV/atom.

Unit cell a=7.746 b=7.746 c=7.746 alpha=137.07 beta=137.07 gamma=62.33
Atoms (fractional coordinates):
Cd 0.000 0.000 0.000
As 0.750 0.250 0.500
Cl 0.111 0.611 0.953
Cl 0.389 0.342 0.500
Cl 0.658 0.158 0.047
Cl 0.842 0.889 0.500

=====

> What is the energy in the first record?

-0.1584 Ha/atom

=====

> Which value of energy does entry 2 give?

-0.0973 Ha/atom

=====

What did the second record say?
CdAsCl4 | PBE | optimized geometry

Results
For the total magnetization, the calculation gives 0.168 μB per atom. The energy is -0.0973 Ha/atom. Its uncorrected formation energy is -0.490 eV/atom.

Unit cell a=7.746 b=7.746 c=7.746 alpha=137.07 beta=137.07 gamma=62.33
Atoms (fractional coordinates):
Cd 0.000 0.000 0.000
As 0.750 0.250 0.500
Cl 0.111 0.611 0.953
Cl 0.389 0.342 0.500
Cl 0.658 0.158 0.047
Cl 0.842 0.889 0.500